The following is a DFT calculation (PBE-GGA) of a relaxed structure of AsSe.

Cell lengths 8.2774, 8.2774, 5.5007 Å; angles 90.00, 90.00, 90.00 degrees
Fractional positions:
As  0.0604  0.2733  0.0000
As  0.2267  0.5604  0.5000
As  0.2733  0.9396  0.0000
As  0.4396  0.2267  0.5000
As  0.5604  0.7733  0.5000
As  0.7267  0.0604  0.0000
As  0.7733  0.4396  0.5000
As  0.9396  0.7267  0.0000
Se  0.0751  0.2937  0.5000
Se  0.2063  0.5751  0.0000
Se  0.2937  0.9249  0.5000
Se  0.4249  0.2063  0.0000
Se  0.5751  0.7937  0.0000
Se  0.7063  0.0751  0.5000
Se  0.7937  0.4249  0.0000
Se  0.9249  0.7063  0.5000

Values from the calculation:
Formation energy (no corrections): 0.11 eV/atom
DOS at the Fermi energy: 0.809 states/eV/f.u.
Size of the total moment: 0.0 Bohr magnetons per cell

---

The following is a DFT calculation (PBE-GGA) of a relaxed structure of As3Se.

Cell lengths 3.5621, 5.5907, 5.4384 Å; angles 90.00, 90.00, 90.00 degrees
Fractional positions:
As  0.0000  0.0000  0.0000
As  0.0000  0.5000  0.0642
As  0.5000  0.5000  0.3705
Se  0.5000  0.0000  0.6868

Values from the calculation:
Formation energy (no corrections): 0.14 eV/atom
Energy relative to the lowest polymorph listed for this composition: 0.058 eV/atom
DOS at the Fermi energy: 1.667 states/eV/f.u.
Size of the total moment: 0.0 Bohr magnetons per cell

---

The following is a DFT calculation (PBE-GGA) of a relaxed structure of AsSe.

Cell lengths 9.2462, 9.2462, 9.2462 Å; angles 90.00, 90.00, 90.00 degrees
Fractional positions:
As  0.1402  0.1402  0.1402
As  0.1402  0.8598  0.8598
As  0.3598  0.3598  0.6402
As  0.3598  0.6402  0.3598
As  0.6402  0.3598  0.3598
As  0.6402  0.6402  0.6402
As  0.8598  0.1402  0.8598
As  0.8598  0.8598  0.1402
Se  0.1356  0.1356  0.8644
Se  0.1356  0.8644  0.1356
Se  0.3644  0.3644  0.3644
Se  0.3644  0.6356  0.6356
Se  0.6356  0.3644  0.6356
Se  0.6356  0.6356  0.3644
Se  0.8644  0.1356  0.1356
Se  0.8644  0.8644  0.8644

Values from the calculation:
Formation energy (no corrections): 0.31 eV/atom
DOS at the Fermi energy: 2.937 states/eV/f.u.
Size of the total moment: 2.7 Bohr magnetons per cell

---

The following is a DFT calculation (PBE-GGA) of a relaxed structure of As5Se.

Cell lengths 3.8564, 11.8063, 5.5071 Å; angles 90.00, 90.00, 90.00 degrees
Fractional positions:
As  0.0000  0.0000  0.0000
As  0.0000  0.3246  0.5000
As  0.0000  0.3323  0.0000
As  0.0000  0.6677  0.0000
As  0.0000  0.6754  0.5000
As  0.5000  0.1677  0.0000
As  0.5000  0.1754  0.5000
As  0.5000  0.5000  0.0000
As  0.5000  0.8246  0.5000
As  0.5000  0.8323  0.0000
Se  0.0000  0.0000  0.5000
Se  0.5000  0.5000  0.5000

Values from the calculation:
Formation energy (no corrections): 0.09 eV/atom
Energy relative to the lowest polymorph listed for this composition: 0.000 eV/atom
DOS at the Fermi energy: 2.235 states/eV/f.u.
Size of the total moment: 0.0 Bohr magnetons per cell

---

The following is a DFT calculation (PBE-GGA) of a relaxed structure of AsSe.

Cell lengths 5.5167, 3.5399, 6.8998 Å; angles 90.00, 90.00, 90.00 degrees
Fractional positions:
As  0.2500  0.0000  0.0146
As  0.7500  0.0000  0.9854
Se  0.2500  0.5000  0.2581
Se  0.7500  0.5000  0.7419

Values from the calculation:
Formation energy (no corrections): -0.03 eV/atom
DOS at the Fermi energy: 0.971 states/eV/f.u.
Size of the total moment: 0.0 Bohr magnetons per cell

---

The following is a DFT calculation (PBE-GGA) of a relaxed structure of AsSe.

Cell lengths 3.5474, 3.5970, 8.1271 Å; angles 90.00, 90.00, 90.00 degrees
Fractional positions:
As  0.2500  0.2500  0.1115
As  0.7500  0.7500  0.8885
Se  0.2500  0.7500  0.6842
Se  0.7500  0.2500  0.3158

Values from the calculation:
Formation energy (no corrections): 0.05 eV/atom
DOS at the Fermi energy: 0.572 states/eV/f.u.
Size of the total moment: 0.0 Bohr magnetons per cell